Crystalline Pm6Bi5C at its relaxed geometry. Source: Alexandria, functional PBE.

Geometry as POSCAR:
```
Pm6Bi5C
1.0
7.673 0.228 0.000
2.373 7.380 0.000
1.187 3.690 6.643
Pm Bi C
6 5 1
direct
0.783 0.071 0.290 Pm
0.217 0.639 0.290 Pm
0.236 0.215 0.000 Pm
0.764 0.785 0.000 Pm
0.783 0.361 0.710 Pm
0.217 0.929 0.710 Pm
0.500 0.184 0.633 Bi
0.000 0.336 0.327 Bi
0.500 0.500 0.000 Bi
0.000 0.664 0.673 Bi
0.500 0.816 0.367 Bi
0.000 0.000 0.000 C
```

## Properties
Spin magnetization, μB per atom: 0.000
ΔE_f, meV/atom: -667


Crystalline PmBiC at its relaxed geometry. Source: Alexandria, functional PBE.

Geometry as POSCAR:
```
PmBiC
1.0
4.392 0.000 0.000
0.000 4.224 0.000
-2.196 -2.112 8.839
Bi C Pm
2 2 2
direct
0.691 0.191 0.383 Bi
0.309 0.809 0.617 Bi
0.643 0.500 0.000 C
0.357 0.500 0.000 C
0.112 0.612 0.224 Pm
0.888 0.388 0.776 Pm
```

## Properties
Spin magnetization, μB per atom: 0.000
ΔE_f, meV/atom: -17


Crystalline Pm7Bi4C at its relaxed geometry. Source: Alexandria, functional PBE.

Geometry as POSCAR:
```
Pm7Bi4C
1.0
-3.224 -3.543 -1.889
4.686 -3.989 -7.536
2.253 -7.611 3.411
Pm Bi C
7 4 1
direct
0.767 0.871 0.595 Pm
0.233 0.129 0.405 Pm
0.053 0.764 0.129 Pm
0.947 0.236 0.871 Pm
0.364 0.537 0.736 Pm
0.500 0.000 0.000 Pm
0.636 0.463 0.264 Pm
0.588 0.220 0.604 Bi
0.412 0.780 0.396 Bi
0.718 0.656 0.909 Bi
0.282 0.344 0.091 Bi
0.000 0.000 0.000 C
```

## Properties
Spin magnetization, μB per atom: 0.000
ΔE_f, meV/atom: -419